Compound: NbVO2
Source: the Alexandria database
Functional: PBE+U
Structure: relaxed

The structure in POSCAR format:
```
NbVO2
1.0
-2.039 2.039 6.091
2.039 -2.039 6.091
2.039 2.039 -6.091
Nb V O
2 2 4
Direct
0.000 0.000 0.000 Nb
0.750 0.250 0.500 Nb
0.250 0.750 0.500 V
0.500 0.500 0.000 V
0.122 0.625 0.997 O
0.375 0.372 0.497 O
0.628 0.125 0.003 O
0.875 0.878 0.503 O
```

Values from the calculation:
Energy above the lowest structure with this stoichiometry, eV per atom: 0.375
Symmetry: I-42d, No. 122
Final energy, eV/atom: -8.019
Total magnetic moment, μB per atom: 0.4035